No. 1
ScHg3Ir (PBE-GGA, relaxed); E_tot = -2.73 eV per atom; formation energy from the elements = 0.4920 eV/atom; SG = Pm-3m, No. 221; V = 27.59 Å³ per atom; energy relative to the lowest polymorph listed for this composition = 0.0 meV/atom; size of the total moment = 1.2 μB per formula unit
1.0
5.167 0.000 0.000
0.000 5.167 0.000
0.000 0.000 5.167
Sc Hg Ir
1 3 1
Cartesian
0.000 0.000 0.000 Sc
0.000 2.583 2.583 Hg
2.583 0.000 2.583 Hg
2.583 2.583 0.000 Hg
2.583 2.583 2.583 Ir

---

No. 2
Sc6Hg3Ir (PBE-GGA, relaxed); E_tot = -5.26 eV per atom; formation energy from the elements = -0.4837 eV/atom; SG = P2_1/m, No. 11; V = 21.19 Å³ per atom; size of the total moment = 0.4 μB per formula unit
1.0
8.563 0.000 0.000
0.000 4.912 0.000
-3.123 0.000 10.077
Sc Hg Ir
12 6 2
Cartesian
-0.934 1.228 4.175 Sc
1.030 3.684 1.704 Sc
2.370 1.228 0.025 Sc
0.387 3.684 8.323 Sc
2.165 1.228 3.370 Sc
1.400 1.228 6.437 Sc
4.040 3.684 3.639 Sc
3.276 3.684 6.706 Sc
5.053 1.228 1.754 Sc
3.070 3.684 10.052 Sc
4.411 1.228 8.373 Sc
6.374 3.684 5.902 Sc
-2.671 3.684 8.799 Hg
-1.384 1.228 7.210 Hg
0.944 3.684 4.801 Hg
4.496 1.228 5.276 Hg
6.824 3.684 2.867 Hg
8.111 1.228 1.278 Hg
3.611 3.684 0.986 Ir
1.829 1.228 9.091 Ir

---

No. 3
Sc2HgIr (PBE-GGA, relaxed); E_tot = -5.96 eV per atom; formation energy from the elements = -0.5024 eV/atom; SG = Cm, No. 8; V = 19.79 Å³ per atom; size of the total moment = 0.0 μB per formula unit
1.0
5.363 -1.645 0.000
5.363 1.645 0.000
-1.429 0.000 4.486
Sc Hg Ir
2 1 1
Cartesian
0.000 0.000 0.000 Sc
1.324 0.000 3.022 Sc
4.119 0.000 2.064 Hg
7.366 0.000 0.725 Ir

---

No. 4
Sc2HgIr (PBE-GGA, relaxed); E_tot = -5.97 eV per atom; formation energy from the elements = -0.5119 eV/atom; SG = R-3m, No. 166; V = 22.47 Å³ per atom; size of the total moment = 0.0 μB per formula unit
1.0
1.902 1.098 7.169
-1.902 1.098 7.169
0.000 -2.196 7.169
Sc Hg Ir
2 1 1
Cartesian
0.000 0.000 5.009 Sc
0.000 0.000 16.499 Sc
0.000 0.000 0.000 Hg
0.000 0.000 10.754 Ir

---

No. 5
Sc8Hg2Ir (PBE-GGA, relaxed); E_tot = -5.81 eV per atom; formation energy from the elements = -0.3485 eV/atom; SG = Immm, No. 71; V = 22.05 Å³ per atom; size of the total moment = 1.9 μB per formula unit
1.0
-2.503 3.276 7.393
2.503 -3.276 7.393
2.503 3.276 -7.393
Sc Hg Ir
8 2 1
Cartesian
2.503 1.723 -1.954 Sc
0.000 0.000 2.758 Sc
0.000 1.603 0.000 Sc
2.503 1.723 1.954 Sc
0.000 1.553 5.439 Sc
0.000 4.950 0.000 Sc
0.000 0.000 12.027 Sc
0.000 1.553 9.347 Sc
2.503 0.000 4.657 Hg
0.000 3.276 2.736 Hg
2.503 0.000 0.000 Ir

---

No. 6
Sc2HgIr (PBE-GGA, relaxed); E_tot = -5.70 eV per atom; formation energy from the elements = -0.2437 eV/atom; SG = I-42d, No. 122; V = 21.16 Å³ per atom; size of the total moment = 0.0 μB per formula unit
1.0
-3.818 3.818 2.904
3.818 -3.818 2.904
3.818 3.818 -2.904
Sc Hg Ir
4 2 2
Cartesian
5.726 1.562 -0.726 Sc
1.562 1.909 0.726 Sc
-1.909 2.256 2.178 Sc
2.256 1.909 3.630 Sc
3.818 0.000 1.452 Hg
0.000 0.000 2.904 Hg
0.000 0.000 0.000 Ir
0.000 3.818 1.452 Ir

---

No. 7
SrScHg2Ir (PBE-GGA, relaxed); E_tot = -3.45 eV per atom; formation energy from the elements = 0.0444 eV/atom; SG = P4/mmm, No. 123; V = 28.75 Å³ per atom; size of the total moment = 0.0 μB per formula unit
1.0
5.455 0.000 0.000
0.000 5.455 0.000
0.000 0.000 4.832
Sr Sc Hg Ir
1 1 2 1
Cartesian
0.000 0.000 0.000 Sr
2.727 2.727 2.416 Sc
0.000 2.727 2.416 Hg
2.727 0.000 2.416 Hg
2.727 2.727 0.000 Ir

---

No. 8
ScTiHgIr (PBE-GGA, relaxed); E_tot = -6.27 eV per atom; formation energy from the elements = -0.4249 eV/atom; SG = F-43m, No. 216; V = 17.96 Å³ per atom; size of the total moment = 0.0 μB per formula unit
1.0
0.000 3.299 3.299
3.299 0.000 3.299
3.299 3.299 0.000
Sc Ti Hg Ir
1 1 1 1
Cartesian
0.000 0.000 0.000 Sc
3.299 3.299 3.299 Ti
4.949 4.949 4.949 Hg
1.650 1.650 1.650 Ir

---

No. 9
YScHgIr (PBE-GGA, relaxed); E_tot = -6.09 eV per atom; formation energy from the elements = -0.5978 eV/atom; SG = F-43m, No. 216; V = 20.96 Å³ per atom; size of the total moment = 0.0 μB per formula unit
1.0
0.000 3.474 3.474
3.474 0.000 3.474
3.474 3.474 0.000
Y Sc Hg Ir
1 1 1 1
Cartesian
0.000 0.000 0.000 Y
3.474 3.474 3.474 Sc
5.211 5.211 5.211 Hg
1.737 1.737 1.737 Ir

---

No. 10
ScZnHgIr2 (PBE-GGA, relaxed); E_tot = -4.54 eV per atom; formation energy from the elements = 0.5847 eV/atom; SG = P4/mmm, No. 123; V = 20.07 Å³ per atom; size of the total moment = 0.0 μB per formula unit
1.0
4.646 0.000 0.000
0.000 4.646 0.000
0.000 0.000 4.648
Sc Zn Hg Ir
1 1 1 2
Cartesian
0.000 0.000 0.000 Sc
2.323 2.323 2.324 Zn
2.323 2.323 0.000 Hg
0.000 2.323 2.324 Ir
2.323 0.000 2.324 Ir

---

No. 11
ZrScHgIr (PBE-GGA, relaxed); E_tot = -6.51 eV per atom; formation energy from the elements = -0.5019 eV/atom; SG = F-43m, No. 216; V = 19.53 Å³ per atom; energy relative to the lowest polymorph listed for this composition = 99.6 meV/atom; size of the total moment = 0.0 μB per formula unit
1.0
0.000 3.393 3.393
3.393 0.000 3.393
3.393 3.393 0.000
Zr Sc Hg Ir
1 1 1 1
Cartesian
0.000 0.000 0.000 Zr
3.393 3.393 3.393 Sc
5.089 5.089 5.089 Hg
1.696 1.696 1.696 Ir

---

No. 12
ZrScHgIr (PBE-GGA, relaxed); E_tot = -6.61 eV per atom; formation energy from the elements = -0.6016 eV/atom; SG = P4mm, No. 99; V = 19.67 Å³ per atom; energy relative to the lowest polymorph listed for this composition = 0.0 meV/atom; size of the total moment = 0.0 μB per formula unit
1.0
3.267 0.000 0.000
0.000 3.267 0.000
0.000 0.000 7.373
Zr Sc Hg Ir
1 1 1 1
Cartesian
0.000 0.000 0.000 Zr
0.000 0.000 4.124 Sc
1.633 1.633 2.137 Hg
1.633 1.633 5.705 Ir

---

Please write out number 12 again, unchanged.
ZrScHgIr (PBE-GGA, relaxed); E_tot = -6.61 eV per atom; formation energy from the elements = -0.6016 eV/atom; SG = P4mm, No. 99; V = 19.67 Å³ per atom; energy relative to the lowest polymorph listed for this composition = 0.0 meV/atom; size of the total moment = 0.0 μB per formula unit
1.0
3.267 0.000 0.000
0.000 3.267 0.000
0.000 0.000 7.373
Zr Sc Hg Ir
1 1 1 1
Cartesian
0.000 0.000 0.000 Zr
0.000 0.000 4.124 Sc
1.633 1.633 2.137 Hg
1.633 1.633 5.705 Ir